# 1
Density functional theory data (PBE) for a relaxed structure of PaMn2Tc.

## Properties
Its relative energy among the computed polymorphs is 0.0097 eV/atom. The calculation puts the final energy at -9.474 eV/atom. The energy of formation from the pure elements is 76 meV/atom. Its size of the total moment is 0.0 μB/f.u.

a = 2.931 Å, b = 2.931 Å, c = 7.048 Å
α = 90.00°, β = 90.00°, γ = 90.00°
Space group P4/mmm (No. 123)
Symmetry-distinct sites (fractional):
Pa 0.000 0.000 0.000 [1 per cell]
Mn 0.500 0.500 0.298 [2 per cell]
Tc 0.000 0.000 0.500 [1 per cell]


# 2
Density functional theory data (PBE) for a relaxed structure of PaMnTc2.

## Properties
Its relative energy among the computed polymorphs is 0.0000 eV/atom. The calculation puts the final energy at -9.921 eV/atom. The energy of formation from the pure elements is -71 meV/atom. Its size of the total moment is 3.5 μB/f.u.

a = 4.494 Å, b = 4.494 Å, c = 3.394 Å
α = 90.00°, β = 90.00°, γ = 90.00°
Space group P4/mmm (No. 123)
Symmetry-distinct sites (fractional):
Pa 0.000 0.000 0.000 [1 per cell]
Mn 0.500 0.500 0.000 [1 per cell]
Tc 0.000 0.500 0.500 [2 per cell]


# 3
Density functional theory data (PBE) for a relaxed structure of PaMn2Tc.

## Properties
Its relative energy among the computed polymorphs is 0.0000 eV/atom. The calculation puts the final energy at -9.484 eV/atom. The energy of formation from the pure elements is 66 meV/atom. Its size of the total moment is 6.5 μB/f.u.

a = 3.857 Å, b = 3.857 Å, c = 4.493 Å
α = 90.00°, β = 90.00°, γ = 90.00°
Space group P4/mmm (No. 123)
Symmetry-distinct sites (fractional):
Pa 0.000 0.000 0.000 [1 per cell]
Mn 0.000 0.500 0.500 [2 per cell]
Tc 0.500 0.500 0.000 [1 per cell]


# 4
Density functional theory data (PBE) for a relaxed structure of PaMnTc2.

## Properties
Its relative energy among the computed polymorphs is 0.1640 eV/atom. The calculation puts the final energy at -9.757 eV/atom. The energy of formation from the pure elements is 93 meV/atom. Its size of the total moment is 3.4 μB/f.u.

a = 3.350 Å, b = 3.350 Å, c = 6.075 Å
α = 90.00°, β = 90.00°, γ = 90.00°
Space group P4/mmm (No. 123)
Symmetry-distinct sites (fractional):
Pa 0.000 0.000 0.000 [1 per cell]
Mn 0.000 0.000 0.500 [1 per cell]
Tc 0.500 0.500 0.256 [2 per cell]